No. 1
First-principles (PBE) data for a relaxed CaAsPt2Pb crystal, as listed in Alexandria. Values from VASP.

Output
Crystal system ... tetragonal
Symmetry ... P4/mmm, No. 123
Formation energy ... 1057 meV/atom
Density of states at the Fermi level ... 0.956 states/eV per atom

```
&SYSTEM
  ibrav = 0, nat = 5, ntyp = 4
/
ATOMIC_SPECIES
Ca 40.08 Ca.upf
Pb 207.20 Pb.upf
Pt 195.08 Pt.upf
As 74.92 As.upf
ATOMIC_POSITIONS crystal
Ca 0.000 0.000 0.000
Pb 0.000 0.000 0.500
Pt 0.000 0.500 0.000
Pt 0.500 0.000 0.000
As 0.500 0.500 0.500
CELL_PARAMETERS angstrom
5.039 0.000 0.000
0.000 5.039 0.000
0.000 0.000 5.939
```

---

No. 2
First-principles (PBE) data for a relaxed K3SrPd8 crystal, as listed in Alexandria. Values from VASP.

Output
Crystal system ... trigonal
Symmetry ... R3m, No. 160
Formation energy ... -206 meV/atom
Density of states at the Fermi level ... 0.860 states/eV per atom

```
&SYSTEM
  ibrav = 0, nat = 12, ntyp = 3
/
ATOMIC_SPECIES
Pd 106.42 Pd.upf
Sr 87.62 Sr.upf
K 39.10 K.upf
ATOMIC_POSITIONS crystal
Pd 0.687 0.687 0.938
Pd 0.437 0.935 0.191
Pd 0.938 0.938 0.683
Pd 0.938 0.441 0.683
Pd 0.188 0.188 0.437
Pd 0.437 0.437 0.191
Pd 0.441 0.938 0.683
Pd 0.935 0.437 0.191
Sr 0.876 0.876 0.373
K 0.003 0.003 0.991
K 0.374 0.374 0.877
K 0.497 0.497 0.509
CELL_PARAMETERS angstrom
5.361 0.000 1.618
2.436 4.775 1.618
-0.004 -0.002 9.701
```

---

No. 3
First-principles (PBE) data for a relaxed Os4Br3 crystal, as listed in Alexandria. Values from VASP.

Output
Crystal system ... hexagonal
Symmetry ... P6/mmm, No. 191
Density of states at the Fermi level ... 1.340 states/eV per atom
ΔE_f (raw) ... 2.4632 eV/atom

```
&SYSTEM
  ibrav = 0, nat = 7, ntyp = 2
/
ATOMIC_SPECIES
Br 79.90 Br.upf
Os 190.23 Os.upf
ATOMIC_POSITIONS crystal
Br 0.000 0.500 0.000
Br 0.500 0.500 0.000
Br 0.500 0.000 0.000
Os 0.333 0.667 0.500
Os 0.000 0.000 0.740
Os 0.667 0.333 0.500
Os 0.000 0.000 0.260
CELL_PARAMETERS angstrom
-0.361 4.677 -3.082
-2.431 -4.733 -1.787
-3.963 1.183 2.259
```

---

No. 4
First-principles (PBE) data for a relaxed La8Os3Br3Cl crystal, as listed in Alexandria. Values from VASP.

Output
Crystal system ... monoclinic
Symmetry ... C2/m, No. 12
Density of states at the Fermi level ... 0.746 states/eV per atom
ΔE_f (raw) ... -0.8994 eV/atom

```
&SYSTEM
  ibrav = 0, nat = 15, ntyp = 4
/
ATOMIC_SPECIES
Os 190.23 Os.upf
Br 79.90 Br.upf
La 138.91 La.upf
Cl 35.45 Cl.upf
ATOMIC_POSITIONS crystal
Os 0.000 0.500 0.500
Os 0.500 0.000 0.500
Os 0.500 0.500 0.500
Br 0.000 0.000 0.000
Br 0.500 0.500 0.000
Br 0.000 0.500 0.000
La 0.250 0.957 0.705
La 0.293 0.043 0.295
La 0.751 0.503 0.295
La 0.707 0.957 0.705
La 0.736 0.471 0.703
La 0.264 0.529 0.297
La 0.249 0.497 0.705
La 0.750 0.043 0.295
Cl 0.000 0.000 0.500
CELL_PARAMETERS angstrom
8.563 0.000 0.000
-4.281 7.416 -0.026
0.000 -4.917 7.626
```

---

No. 5
First-principles (PBE) data for a relaxed YZrGa4 crystal, as listed in Alexandria. Values from VASP.

Output
Crystal system ... tetragonal
Symmetry ... I-4m2, No. 119
Formation energy ... -536 meV/atom
Density of states at the Fermi level ... 0.229 states/eV per atom

```
&SYSTEM
  ibrav = 0, nat = 6, ntyp = 3
/
ATOMIC_SPECIES
Ga 69.72 Ga.upf
Y 88.91 Y.upf
Zr 91.22 Zr.upf
ATOMIC_POSITIONS crystal
Ga 0.581 0.581 0.161
Ga 0.419 0.419 0.839
Ga 0.666 0.166 0.332
Ga 0.834 0.334 0.668
Y 0.250 0.750 0.500
Zr 0.000 0.000 0.000
CELL_PARAMETERS angstrom
3.860 0.000 -1.192
-0.368 3.842 -1.192
0.289 0.318 7.783
```

---

No. 6
First-principles (PBE) data for a relaxed Pr4Sb2Rh crystal, as listed in Alexandria. Values from VASP.

Output
Crystal system ... monoclinic
Symmetry ... P2_1/m, No. 11
Density of states at the Fermi level ... 0.785 states/eV per atom
ΔE_f (raw) ... -0.8021 eV/atom

```
&SYSTEM
  ibrav = 0, nat = 14, ntyp = 3
/
ATOMIC_SPECIES
Pr 140.91 Pr.upf
Rh 102.91 Rh.upf
Sb 121.76 Sb.upf
ATOMIC_POSITIONS crystal
Pr 0.887 0.250 0.573
Pr 0.378 0.492 0.211
Pr 0.378 0.008 0.211
Pr 0.841 0.250 0.159
Pr 0.159 0.750 0.841
Pr 0.622 0.992 0.789
Pr 0.113 0.750 0.427
Pr 0.622 0.508 0.789
Rh 0.968 0.250 0.928
Rh 0.032 0.750 0.072
Sb 0.323 0.250 0.895
Sb 0.677 0.750 0.105
Sb 0.293 0.250 0.474
Sb 0.707 0.750 0.526
CELL_PARAMETERS angstrom
6.914 0.000 -0.954
0.000 6.817 0.000
-3.767 0.000 9.391
```

---

Repeat the sixth record exactly.
First-principles (PBE) data for a relaxed Pr4Sb2Rh crystal, as listed in Alexandria. Values from VASP.

Output
Crystal system ... monoclinic
Symmetry ... P2_1/m, No. 11
Density of states at the Fermi level ... 0.785 states/eV per atom
ΔE_f (raw) ... -0.8021 eV/atom

```
&SYSTEM
  ibrav = 0, nat = 14, ntyp = 3
/
ATOMIC_SPECIES
Pr 140.91 Pr.upf
Rh 102.91 Rh.upf
Sb 121.76 Sb.upf
ATOMIC_POSITIONS crystal
Pr 0.887 0.250 0.573
Pr 0.378 0.492 0.211
Pr 0.378 0.008 0.211
Pr 0.841 0.250 0.159
Pr 0.159 0.750 0.841
Pr 0.622 0.992 0.789
Pr 0.113 0.750 0.427
Pr 0.622 0.508 0.789
Rh 0.968 0.250 0.928
Rh 0.032 0.750 0.072
Sb 0.323 0.250 0.895
Sb 0.677 0.750 0.105
Sb 0.293 0.250 0.474
Sb 0.707 0.750 0.526
CELL_PARAMETERS angstrom
6.914 0.000 -0.954
0.000 6.817 0.000
-3.767 0.000 9.391
```

---

Q: Number 6 is which compound?
A: Pr4Sb2Rh